Entry 1:
A geometry-optimized CrRe4Ru structure. Source: the Alexandria database, functional PBE.

a = 5.0913 Å, b = 5.0913 Å, c = 5.0913 Å
α = 60.00°, β = 60.00°, γ = 60.00°
Positions (direct):
Re (0.1252, 0.6249, 0.6249)
Re (0.6249, 0.6249, 0.6249)
Ru (0.2500, 0.2500, 0.2500)
Re (0.6249, 0.1252, 0.6249)
Re (0.6249, 0.6249, 0.1252)
Cr (0.0000, 0.0000, 0.0000)

E_tot: -11.007 eV per atom
Formation enthalpy at 0 K: 442 meV per atom
Symmetry: F-43m, No. 216

***

Entry 2:
A geometry-optimized InGaFeSn2 structure. Source: the Alexandria database, functional PBE.

a = 5.0430 Å, b = 5.0430 Å, c = 4.7016 Å
α = 90.00°, β = 90.00°, γ = 90.00°
Positions (direct):
In (0.5000, 0.5000, 0.5000)
Ga (0.0000, 0.0000, 0.5000)
Sn (0.0000, 0.5000, 0.0000)
Sn (0.5000, 0.0000, 0.0000)
Fe (0.0000, 0.0000, 0.0000)

E_tot: -4.348 eV per atom
Formation enthalpy at 0 K: 99 meV per atom
Symmetry: P4/mmm, No. 123

***

Entry 3:
A geometry-optimized CaNd2Hg structure. Source: the Alexandria database, functional PBE.

a = 3.6506 Å, b = 3.6506 Å, c = 12.2940 Å
α = 81.46°, β = 81.46°, γ = 60.00°
Positions (direct):
Ca (0.0000, 0.0000, 0.0000)
Hg (0.5000, 0.5000, 0.5000)
Nd (0.0983, 0.0983, 0.7052)
Nd (0.9017, 0.9017, 0.2948)

E_tot: -2.939 eV per atom
Formation enthalpy at 0 K: 21 meV per atom
Offset from the most stable computed form: 227 meV/atom
Symmetry: R-3m, No. 166

***

Entry 4:
A geometry-optimized HgRuPb2 structure. Source: the Alexandria database, functional PBE.

a = 10.0766 Å, b = 10.0766 Å, c = 7.6430 Å
α = 48.76°, β = 48.76°, γ = 90.00°
Positions (direct):
Ru (0.5000, 0.5000, 0.0000)
Pb (0.3754, 0.6250, 0.2500)
Hg (0.7500, 0.2500, 0.5000)
Hg (0.0000, 0.0000, 0.0000)
Pb (0.8750, 0.6246, 0.7500)
Ru (0.2500, 0.7500, 0.5000)
Pb (0.3746, 0.1250, 0.2500)
Pb (0.3750, 0.6254, 0.7500)

E_tot: -3.970 eV per atom
Formation enthalpy at 0 K: 279 meV per atom
Symmetry: I4_1/amd, No. 141

***

Entry 5:
A geometry-optimized GdSc2Pb structure. Source: the Alexandria database, functional PBE.

a = 4.6386 Å, b = 4.7061 Å, c = 4.7061 Å
α = 90.00°, β = 90.00°, γ = 90.00°
Positions (direct):
Sc (0.0000, 0.0000, 0.5000)
Gd (0.5000, 0.5000, 0.5000)
Pb (0.5000, 0.0000, 0.0000)
Sc (0.0000, 0.5000, 0.0000)

E_tot: -7.886 eV per atom
Formation enthalpy at 0 K: -273 meV per atom
Offset from the most stable computed form: 0 meV/atom
Symmetry: P4/mmm, No. 123

***

Entry 6:
A geometry-optimized Y2BeIn2 structure. Source: the Alexandria database, functional PBE.

a = 7.0263 Å, b = 7.0263 Å, c = 4.8962 Å
α = 90.00°, β = 90.00°, γ = 90.00°
Positions (direct):
In (0.6464, 0.1464, 0.0000)
Y (0.6683, 0.8317, 0.5000)
Y (0.1683, 0.6683, 0.5000)
Y (0.8317, 0.3317, 0.5000)
In (0.3536, 0.8536, 0.0000)
In (0.1464, 0.3536, 0.0000)
Be (0.5000, 0.5000, 0.0000)
Be (0.0000, 0.0000, 0.0000)
In (0.8536, 0.6464, 0.0000)
Y (0.3317, 0.1683, 0.5000)

E_tot: -4.633 eV per atom
Formation enthalpy at 0 K: -207 meV per atom
Symmetry: P4/mbm, No. 127

***

Entry 7:
A geometry-optimized Cs2KCdSb structure. Source: the Alexandria database, functional PBE.

a = 7.5276 Å, b = 7.5276 Å, c = 6.7889 Å
α = 90.00°, β = 90.00°, γ = 90.00°
Positions (direct):
Cd (0.5000, 0.5000, 0.5000)
K (0.0000, 0.0000, 0.5000)
Sb (0.0000, 0.0000, 0.0000)
Cs (0.5000, 0.0000, 0.0000)
Cs (0.0000, 0.5000, 0.0000)

E_tot: -1.662 eV per atom
Formation energy without anion corrections: -0.093 eV/atom
Offset from the most stable computed form: 0 meV/atom
Symmetry: P4/mmm, No. 123

***

Entry 8:
A geometry-optimized PmPrNdHo structure. Source: the Alexandria database, functional PBE.

a = 3.6570 Å, b = 3.6570 Å, c = 11.7959 Å
α = 90.00°, β = 90.00°, γ = 120.00°
Positions (direct):
Ho (0.6667, 0.3333, 0.6769)
Nd (0.6667, 0.3333, 0.1725)
Pr (0.0000, 0.0000, 0.4287)
Pm (0.3333, 0.6667, 0.9212)

E_tot: -4.706 eV per atom
Formation enthalpy at 0 K: 13 meV per atom
Offset from the most stable computed form: 0 meV/atom
Symmetry: P3m1, No. 156

***

Entry 9:
A geometry-optimized BRhO2F structure. Source: the Alexandria database, functional PBE.

a = 3.6093 Å, b = 3.6093 Å, c = 3.1512 Å
α = 90.00°, β = 90.00°, γ = 90.00°
Positions (direct):
Rh (0.5000, 0.5000, 0.5000)
O (0.5000, 0.0000, 0.0000)
F (0.0000, 0.0000, 0.5000)
B (0.0000, 0.0000, 0.0000)
O (0.0000, 0.5000, 0.0000)

E_tot: -5.455 eV per atom
Formation energy without anion corrections: -0.292 eV/atom
Symmetry: P4/mmm, No. 123